Below is a relaxed NaPu2Np3Se6 crystal, with properties calculated at the GGA-PBE level.

Summary:
The total energy comes out at -104.3 eV/f.u. For the mass density, the calculation gives 9.379 g/cm³. The uncorrected formation energy is -1.214 eV per atom.

Cell: 9.2682 9.2682 8.3551 Å, 103.53 103.53 25.52°
Sites, in units of the cell vectors:
Na1 0.0000 0.0000 0.0000
Pu1 0.3330 0.3330 0.6634
Pu2 0.6670 0.6670 0.3366
Np1 0.0000 0.0000 0.5000
Np2 0.3327 0.3327 0.1646
Np3 0.6673 0.6673 0.8354
Se1 0.1658 0.1658 0.5831
Se2 0.1667 0.1667 0.0819
Se3 0.4998 0.4998 0.2545
Se4 0.5002 0.5002 0.7455
Se5 0.8333 0.8333 0.9181
Se6 0.8342 0.8342 0.4169